A plane-wave DFT calculation with PBE+U was carried out for a relaxed HoMn2ZnO6 crystal.

Computed properties:
For the total energy, the calculation gives -7.005 eV/atom. The density of states at the Fermi level comes out at 4.00 states/eV per cell.

Cell: 5.1992 5.4258 7.5773 Å, 90.00 90.00 90.00°
Last column: magnetic moment on the atom in μB.
Element x y z (fractional)
Ho  0.0177  0.6837  0.0000  0.02
Ho  0.5177  0.3163  0.5000  0.02
Mn  0.9999  0.2405  0.2500  3.65
Mn  0.9999  0.2405  0.7500  3.65
Mn  0.4999  0.7595  0.7500  3.65
Mn  0.4999  0.7595  0.2500  3.65
Zn  0.4879  0.2038  0.0000  0.01
Zn  0.9879  0.7962  0.5000  0.01
O  0.1065  0.1926  0.5000  -0.08
O  0.1976  0.9486  0.1890  -0.08
O  0.1976  0.9486  0.8110  -0.08
O  0.3100  0.4412  0.1893  -0.07
O  0.3100  0.4412  0.8107  -0.07
O  0.3728  0.7137  0.5000  -0.08
O  0.6065  0.8074  0.0000  -0.08
O  0.6976  0.0514  0.6890  -0.08
O  0.6976  0.0514  0.3110  -0.08
O  0.8100  0.5588  0.3107  -0.07
O  0.8100  0.5588  0.6893  -0.07
O  0.8728  0.2863  0.0000  -0.08